1.
Material: HfTiCoMo
Method: DFT, PBE
State: relaxed

Cell lengths 3.1681, 3.1681, 6.3035 Å; angles 90.00, 90.00, 90.00 degrees
Fractional positions:
Hf1 0.0000 0.0000 0.0000
Ti1 0.0000 0.0000 0.4840
Co1 0.5000 0.5000 0.2470
Mo1 0.5000 0.5000 0.7232

Computed properties:
The calculated total energy comes out at -36.71 eV for the cell shown.

---

2.
Material: Ac2LaPrSm5
Method: DFT, PBE
State: relaxed

Cell lengths 10.6753, 10.6753, 11.1419 Å; angles 90.00, 90.00, 147.98 degrees
Fractional positions:
Ac1 0.1118 0.8882 0.5000
Ac2 0.1197 0.8803 0.0967
Ac3 0.8803 0.1197 0.5967
Ac4 0.8882 0.1118 0.0000
La1 0.4169 0.5831 0.2310
La2 0.5831 0.4169 0.7310
Pr1 0.2118 0.7882 0.7757
Pr2 0.7882 0.2118 0.2757
Sm1 0.0207 0.9793 0.8009
Sm2 0.2867 0.7133 0.0738
Sm3 0.2960 0.7040 0.4717
Sm4 0.3979 0.6021 0.7961
Sm5 0.4786 0.5214 0.5112
Sm6 0.5214 0.4786 0.0112
Sm7 0.6021 0.3979 0.2961
Sm8 0.7040 0.2960 0.9717
Sm9 0.7133 0.2867 0.5738
Sm10 0.9793 0.0207 0.3009

Computed properties:
The calculated total energy comes out at -80.56 eV for the cell shown.

---

Number 1: V 15.82 Å³ per atom, energy of formation from the pure elements -0.9 eV per formula unit. Number 2: V 37.40 Å³ per atom, energy of formation from the pure elements 1.2 eV per formula unit.